Record 1
Te3W (PBE-GGA, relaxed); formation energy without anion corrections = 3.9 eV per formula unit; spin magnetization = 1.05 Bohr magnetons per cell; D(E_F) = 0.8671 states/eV per atom; density = 10.1 g/cm3; raw total energy = -4.607 eV per atom; energy above the lowest structure with this stoichiometry = 3.51 eV/f.u.
1.0
5.184 0.000 0.000
0.000 5.184 0.000
0.000 0.000 3.458
Te W
3 1
direct
0.000 0.000 0.000 Te
0.000 0.500 0.500 Te
0.500 0.000 0.500 Te
0.500 0.500 0.000 W



Record 2
YIn3Se (PBE-GGA, relaxed); formation energy without anion corrections = 3.3 eV per formula unit; spin magnetization = 0.00 Bohr magnetons per cell; D(E_F) = 1.0781 states/eV per atom; density = 4.1 g/cm3; raw total energy = -2.973 eV per atom; energy above the lowest structure with this stoichiometry = 2.04 eV/f.u.
1.0
5.899 0.000 0.000
0.000 5.899 0.000
0.000 0.000 5.899
Y In Se
1 3 1
direct
0.000 0.000 0.000 Y
0.000 0.000 0.500 In
0.000 0.500 0.000 In
0.500 0.000 0.000 In
0.500 0.500 0.500 Se



Record 3
Ho5RuPb (PBE-GGA, relaxed); spin magnetization = 0.00 Bohr magnetons per cell; D(E_F) = 1.0851 states/eV per atom; density = 9.4 g/cm3; raw total energy = -5.285 eV per atom; energy of formation = -0.161 eV/atom
1.0
5.408 -3.455 0.000
5.408 3.455 0.000
-3.639 0.000 10.729
Ho Ru Pb
10 2 2
direct
0.028 0.972 0.750 Ho
0.030 0.403 0.637 Ho
0.209 0.543 0.955 Ho
0.403 0.030 0.137 Ho
0.457 0.791 0.545 Ho
0.543 0.209 0.455 Ho
0.597 0.970 0.863 Ho
0.791 0.457 0.045 Ho
0.970 0.597 0.363 Ho
0.972 0.028 0.250 Ho
0.000 0.000 0.000 Ru
0.000 0.000 0.500 Ru
0.464 0.536 0.250 Pb
0.536 0.464 0.750 Pb



Record 4
Hf6Si3H (PBE-GGA, relaxed); spin magnetization = 0.00 Bohr magnetons per cell; D(E_F) = 0.4367 states/eV per atom; density = 10.9 g/cm3; raw total energy = -8.427 eV per atom
1.0
5.486 0.000 0.000
0.000 7.225 0.000
-5.471 0.000 8.900
Hf Si H
12 6 2
direct
0.083 0.165 0.447 Hf
0.083 0.335 0.947 Hf
0.329 0.688 0.444 Hf
0.329 0.812 0.944 Hf
0.407 0.036 0.273 Hf
0.407 0.464 0.773 Hf
0.593 0.536 0.227 Hf
0.593 0.964 0.727 Hf
0.671 0.188 0.056 Hf
0.671 0.312 0.556 Hf
0.917 0.665 0.053 Hf
0.917 0.835 0.553 Hf
0.000 0.000 0.000 Si
0.000 0.500 0.500 Si
0.154 0.116 0.754 Si
0.154 0.384 0.254 Si
0.846 0.616 0.746 Si
0.846 0.884 0.246 Si
0.500 0.000 0.500 H
0.500 0.500 0.000 H



Record 5
KThNiS4 (PBE-GGA, relaxed); formation energy without anion corrections = -7.4 eV per formula unit; spin magnetization = 0.00 Bohr magnetons per cell; D(E_F) = 0.2631 states/eV per atom; density = 5.1 g/cm3; raw total energy = -5.456 eV per atom
1.0
3.098 -7.349 0.000
3.098 7.349 0.000
0.000 0.000 6.557
K Th Ni S
2 2 2 8
direct
0.099 0.901 0.750 K
0.901 0.099 0.250 K
0.375 0.625 0.750 Th
0.625 0.375 0.250 Th
0.251 0.749 0.250 Ni
0.749 0.251 0.750 Ni
0.000 0.500 0.000 S
0.000 0.500 0.500 S
0.100 0.900 0.250 S
0.438 0.562 0.250 S
0.500 0.000 0.000 S
0.500 0.000 0.500 S
0.562 0.438 0.750 S
0.900 0.100 0.750 S



Record 6
Ca4TlCu (PBE-GGA, relaxed); spin magnetization = 0.00 Bohr magnetons per cell; D(E_F) = 1.0960 states/eV per atom; density = 3.3 g/cm3; raw total energy = -1.953 eV per atom; energy above the lowest structure with this stoichiometry = 3.85 eV/f.u.; energy of formation = 0.458 eV/atom
1.0
0.000 4.739 4.739
4.739 0.000 4.739
4.739 4.739 0.000
Ca Tl Cu
4 1 1
direct
0.125 0.125 0.125 Ca
0.125 0.125 0.625 Ca
0.125 0.625 0.125 Ca
0.625 0.125 0.125 Ca
0.500 0.500 0.500 Tl
0.750 0.750 0.750 Cu



Record 7
LaZn7 (PBE-GGA, relaxed); spin magnetization = 1.17 Bohr magnetons per cell; D(E_F) = 0.8445 states/eV per atom; density = 6.2 g/cm3; raw total energy = -1.598 eV per atom; energy above the lowest structure with this stoichiometry = 2.93 eV/f.u.; energy of formation = 0.133 eV/atom
1.0
0.000 4.305 4.305
4.305 0.000 4.305
4.305 4.305 0.000
La Zn
1 7
direct
0.000 0.000 0.000 La
0.000 0.000 0.500 Zn
0.000 0.500 0.000 Zn
0.000 0.500 0.500 Zn
0.500 0.000 0.000 Zn
0.500 0.000 0.500 Zn
0.500 0.500 0.000 Zn
0.500 0.500 0.500 Zn



Record 8
AlInTc2 (PBE-GGA, relaxed); spin magnetization = 0.00 Bohr magnetons per cell; D(E_F) = 0.5841 states/eV per atom; density = 8.5 g/cm3; raw total energy = -6.676 eV per atom; energy above the lowest structure with this stoichiometry = 0.74 eV/f.u.; energy of formation = 0.127 eV/atom
1.0
4.434 -1.479 0.000
4.434 1.479 0.000
-1.047 0.000 5.010
Al In Tc
1 1 2
direct
0.000 0.000 0.000 Al
0.500 0.500 0.500 In
0.257 0.257 0.786 Tc
0.743 0.743 0.214 Tc



Record 9
SnHg3Bi (PBE-GGA, relaxed); spin magnetization = 0.00 Bohr magnetons per cell; D(E_F) = 0.3295 states/eV per atom; density = 10.3 g/cm3; raw total energy = -1.715 eV per atom; energy above the lowest structure with this stoichiometry = 0.00 eV/f.u.; energy of formation = 0.043 eV/atom
1.0
7.937 0.000 0.000
0.000 4.618 0.000
-2.539 0.000 8.189
Sn Hg Bi
2 6 2
direct
0.051 0.000 0.413 Sn
0.949 0.500 0.587 Sn
0.119 0.499 0.201 Hg
0.266 0.998 0.043 Hg
0.326 0.498 0.826 Hg
0.674 0.998 0.174 Hg
0.734 0.498 0.957 Hg
0.881 0.999 0.799 Hg
0.446 0.998 0.599 Bi
0.554 0.498 0.401 Bi



Record 10
LaCuIN2 (PBE-GGA, relaxed); formation energy without anion corrections = 3.7 eV per formula unit; spin magnetization = 1.10 Bohr magnetons per cell; D(E_F) = 0.6286 states/eV per atom; density = 6.6 g/cm3; raw total energy = -4.700 eV per atom; energy above the lowest structure with this stoichiometry = 0.00 eV/f.u.
1.0
4.324 0.000 0.000
0.000 4.324 0.000
0.000 0.000 4.830
La Cu I N
1 1 1 2
direct
0.000 0.000 0.000 La
0.500 0.500 0.500 Cu
0.500 0.500 0.000 I
0.000 0.500 0.500 N
0.500 0.000 0.500 N



Record 11
LaZn3Cl9 (PBE-GGA, relaxed); formation energy without anion corrections = -19.4 eV per formula unit; spin magnetization = 0.00 Bohr magnetons per cell; D(E_F) = 0.0000 states/eV per atom; density = 2.6 g/cm3; raw total energy = -3.440 eV per atom
1.0
9.120 -4.492 0.000
9.120 4.492 0.000
-8.365 0.000 10.084
La Zn Cl
2 6 18
direct
0.227 0.773 0.500 La
0.773 0.227 0.000 La
0.027 0.270 0.834 Zn
0.270 0.027 0.334 Zn
0.276 0.433 0.665 Zn
0.433 0.276 0.165 Zn
0.646 0.813 0.206 Zn
0.813 0.646 0.706 Zn
0.086 0.218 0.218 Cl
0.107 0.937 0.329 Cl
0.169 0.432 0.035 Cl
0.218 0.086 0.718 Cl
0.288 0.663 0.683 Cl
0.403 0.413 0.369 Cl
0.413 0.403 0.869 Cl
0.432 0.169 0.535 Cl
0.469 0.774 0.232 Cl
0.479 0.986 0.078 Cl
0.541 0.780 0.567 Cl
0.663 0.288 0.183 Cl
0.774 0.469 0.732 Cl
0.780 0.541 0.067 Cl
0.858 0.882 0.406 Cl
0.882 0.858 0.906 Cl
0.937 0.107 0.829 Cl
0.986 0.479 0.578 Cl



Record 12
TiBiW (PBE-GGA, relaxed); spin magnetization = 0.00 Bohr magnetons per cell; D(E_F) = 0.9210 states/eV per atom; density = 12.6 g/cm3; raw total energy = -7.836 eV per atom; energy of formation = 0.407 eV/atom
1.0
3.521 0.000 0.000
0.000 3.521 0.000
0.000 0.000 9.404
Ti Bi W
2 2 2
direct
0.250 0.250 0.073 Ti
0.750 0.750 0.927 Ti
0.250 0.250 0.762 Bi
0.750 0.750 0.238 Bi
0.250 0.250 0.437 W
0.750 0.750 0.563 W



Record 13
KHoSnI6 (PBE-GGA, relaxed); formation energy without anion corrections = -10.1 eV per formula unit; spin magnetization = 0.00 Bohr magnetons per cell; D(E_F) = 0.0000 states/eV per atom; density = 4.1 g/cm3; raw total energy = -3.230 eV per atom
1.0
8.047 0.000 0.000
-4.024 6.969 0.000
0.000 0.000 15.471
K Ho Sn I
2 2 2 12
direct
0.000 0.000 0.000 K
0.000 0.000 0.500 K
0.333 0.667 0.250 Ho
0.667 0.333 0.750 Ho
0.333 0.667 0.750 Sn
0.667 0.333 0.250 Sn
0.016 0.373 0.136 I
0.016 0.642 0.364 I
0.358 0.373 0.364 I
0.358 0.984 0.136 I
0.373 0.016 0.636 I
0.373 0.358 0.864 I
0.627 0.642 0.136 I
0.627 0.984 0.364 I
0.642 0.016 0.864 I
0.642 0.627 0.636 I
0.984 0.358 0.636 I
0.984 0.627 0.864 I



Record 14
NaLi3Ni (PBE-GGA, relaxed); spin magnetization = 0.00 Bohr magnetons per cell; D(E_F) = 0.4767 states/eV per atom; density = 1.7 g/cm3; raw total energy = -1.742 eV per atom; energy above the lowest structure with this stoichiometry = 3.04 eV/f.u.; energy of formation = 0.827 eV/atom
1.0
4.679 0.000 0.000
0.000 4.679 0.000
0.000 0.000 4.679
Na Li Ni
1 3 1
direct
0.000 0.000 0.000 Na
0.000 0.000 0.500 Li
0.000 0.500 0.000 Li
0.500 0.000 0.000 Li
0.500 0.500 0.500 Ni



Record 15
LiTb5O8 (PBE-GGA, relaxed); formation energy without anion corrections = -45.4 eV per formula unit; spin magnetization = 0.00 Bohr magnetons per cell; D(E_F) = 0.0000 states/eV per atom; density = 8.7 g/cm3; raw total energy = -7.866 eV per atom
1.0
-3.561 3.561 3.508
3.561 -3.561 3.508
3.561 3.561 -3.508
Li Tb O
1 5 8
direct
0.000 0.000 0.000 Li
0.222 0.116 0.601 Tb
0.379 0.778 0.894 Tb
0.515 0.621 0.399 Tb
0.750 0.250 0.500 Tb
0.884 0.485 0.106 Tb
0.119 0.371 0.380 O
0.128 0.392 0.876 O
0.261 0.881 0.252 O
0.517 0.252 0.124 O
0.608 0.483 0.735 O
0.629 0.009 0.748 O
0.748 0.872 0.265 O
0.991 0.739 0.620 O



Record 16
Pm3DyTm2Bi6 (PBE-GGA, relaxed); spin magnetization = 0.00 Bohr magnetons per cell; D(E_F) = 0.1673 states/eV per atom; density = 9.3 g/cm3; raw total energy = -5.129 eV per atom; energy of formation = -0.872 eV/atom
1.0
9.830 -2.258 0.000
9.830 2.258 0.000
-2.048 0.000 8.787
Pm Dy Tm Bi
3 1 2 6
direct
0.000 0.000 0.000 Pm
0.334 0.334 0.667 Pm
0.666 0.666 0.333 Pm
0.000 0.000 0.500 Dy
0.333 0.333 0.167 Tm
0.667 0.667 0.833 Tm
0.165 0.165 0.589 Bi
0.169 0.169 0.077 Bi
0.498 0.498 0.253 Bi
0.502 0.502 0.747 Bi
0.831 0.831 0.923 Bi
0.835 0.835 0.411 Bi



Record 17
TaGa2Pt2 (PBE-GGA, relaxed); spin magnetization = 0.00 Bohr magnetons per cell; D(E_F) = 0.5290 states/eV per atom; density = 14.8 g/cm3; raw total energy = -6.375 eV per atom; energy above the lowest structure with this stoichiometry = 0.00 eV/f.u.; energy of formation = -0.377 eV/atom
1.0
7.514 0.000 0.000
0.000 7.514 0.000
0.000 0.000 2.822
Ta Ga Pt
2 4 4
direct
0.000 0.000 0.000 Ta
0.500 0.500 0.000 Ta
0.136 0.364 0.000 Ga
0.364 0.864 0.000 Ga
0.636 0.136 0.000 Ga
0.864 0.636 0.000 Ga
0.163 0.663 0.500 Pt
0.337 0.163 0.500 Pt
0.663 0.837 0.500 Pt
0.837 0.337 0.500 Pt



Record 18
CuSiPb4 (PBE-GGA, relaxed); formation energy without anion corrections = 4.6 eV per formula unit; spin magnetization = 0.00 Bohr magnetons per cell; D(E_F) = 0.8387 states/eV per atom; density = 8.4 g/cm3; raw total energy = -3.286 eV per atom
1.0
0.000 4.501 4.501
4.501 0.000 4.501
4.501 4.501 0.000
Cu Si Pb
1 1 4
direct
0.000 0.000 0.000 Cu
0.250 0.250 0.250 Si
0.125 0.625 0.625 Pb
0.625 0.125 0.625 Pb
0.625 0.625 0.125 Pb
0.625 0.625 0.625 Pb



Record 19
SiTcAs2Pb (PBE-GGA, relaxed); formation energy without anion corrections = 9.3 eV per formula unit; spin magnetization = 3.46 Bohr magnetons per cell; D(E_F) = 0.9444 states/eV per atom; density = 5.3 g/cm3; raw total energy = -3.896 eV per atom
1.0
5.358 0.000 0.000
0.000 5.358 0.000
0.000 0.000 5.237
Si Tc As Pb
1 1 2 1
direct
0.000 0.000 0.000 Si
0.500 0.500 0.000 Tc
0.000 0.500 0.500 As
0.500 0.000 0.500 As
0.500 0.500 0.500 Pb



Record 20
Ca2TcRh (PBE-GGA, relaxed); spin magnetization = 1.06 Bohr magnetons per cell; D(E_F) = 1.0922 states/eV per atom; density = 5.4 g/cm3; raw total energy = -5.233 eV per atom; energy above the lowest structure with this stoichiometry = 0.22 eV/f.u.; energy of formation = 0.197 eV/atom
1.0
5.654 -1.532 0.000
5.654 1.532 0.000
-1.946 0.000 4.944
Ca Tc Rh
2 1 1
direct
0.000 0.000 0.000 Ca
0.201 0.201 0.628 Ca
0.771 0.771 0.179 Tc
0.448 0.448 0.480 Rh